The following is a PBE-GGA calculation of an optimized crystal structure of Hf3VN, from Alexandria.

```
5
Lattice="-4.2434 -1.0941 0.4266 0.7687 -3.7971 -2.0921 0.8878 -1.9418 3.8506" Properties=species:S:1:pos:R:3 pbc="T T T"
V -1.2935 -3.4165 1.0926
N 0.0000 0.0000 0.0000
Hf -2.1217 -0.5470 0.2133
Hf 0.4439 -0.9709 1.9253
Hf 0.3843 -1.8985 -1.0460
```

Values from the calculation:
- total moment (μB/atom) = 0.00
- calculated volume (A^3/atom) = 17.07
- formation energy from raw total energies (eV/atom) = -0.62
- energy above the lowest structure with this stoichiometry (meV/atom) = 0

---

The following is a PBE-GGA calculation of an optimized crystal structure of Na3Zn2Cd4, from Alexandria.

```
9
Lattice="4.9561 0.0000 0.0000 -2.4781 5.3033 -0.9599 0.0000 -3.6298 8.4435" Properties=species:S:1:pos:R:3 pbc="T T T"
Zn 0.0000 1.5218 5.3363
Zn 2.4781 0.1516 2.1473
Na 0.0000 0.0000 0.0000
Na 0.0000 2.3519 2.1665
Na 2.4781 -0.6785 5.3171
Cd 2.4781 2.0444 0.0503
Cd 2.4781 2.3922 4.3025
Cd 0.0000 -0.7187 3.1811
Cd 0.0000 -0.3710 7.4332
```

Values from the calculation:
- total moment (μB/atom) = 0.00
- calculated volume (A^3/atom) = 22.74
- DFT formation energy (eV per atom) = -0.059

---

The following is a PBE-GGA calculation of an optimized crystal structure of MgU4, from Alexandria.

```
5
Lattice="-2.9032 -1.2888 -4.2506 -1.5027 -4.4936 2.3889 -4.1798 2.5107 2.0936" Properties=species:S:1:pos:R:3 pbc="T T T"
U -2.8412 -0.9914 2.2412
U 0.0000 0.0000 0.0000
U -2.2030 -2.8912 -0.9309
U -3.5415 0.6110 -1.0785
Mg -4.2929 -1.6359 0.1159
```

Values from the calculation:
- total moment (μB/atom) = 2.42
- calculated volume (A^3/atom) = 29.88
- DFT formation energy (eV per atom) = 2.014

---

The following is a PBE-GGA calculation of an optimized crystal structure of BeB2OsPb, from Alexandria.

```
5
Lattice="-3.1852 1.5881 -1.9253 -3.0760 -4.3365 1.5118 -1.0761 1.9426 3.3827" Properties=species:S:1:pos:R:3 pbc="T T T"
Be -3.6686 -0.4029 1.4846
B -1.5926 0.7941 -0.9626
B -0.5380 0.9713 1.6914
Os 0.0000 0.0000 0.0000
Pb -1.5380 -2.1683 0.7559
```

Values from the calculation:
- total moment (μB/atom) = 0.00
- calculated volume (A^3/atom) = 18.10
- DFT formation energy (eV per atom) = 1.116

---

The following is a PBE-GGA calculation of an optimized crystal structure of Ta2OsBr, from Alexandria.

```
4
Lattice="4.6306 0.0000 0.0000 2.3153 4.0102 0.0000 2.3153 1.3367 3.7809" Properties=species:S:1:pos:R:3 pbc="T T T"
Br 4.6306 2.6735 1.8904
Ta 2.3153 1.3367 0.9452
Ta 0.0000 0.0000 0.0000
Os 6.9459 4.0102 2.8357
```

Values from the calculation:
- total moment (μB/atom) = 0.00
- calculated volume (A^3/atom) = 17.55
- formation energy from raw total energies (eV/atom) = 0.97
- energy above the lowest structure with this stoichiometry (meV/atom) = 830

---

The following is a PBE-GGA calculation of an optimized crystal structure of BeNi2HRh, from Alexandria.

```
5
Lattice="-0.9626 -2.9442 1.5060 2.6500 0.2516 2.1857 -2.2558 2.0177 2.5027" Properties=species:S:1:pos:R:3 pbc="T T T"
H 0.0000 0.0000 0.0000
Be -1.1279 1.0089 1.2513
Ni -0.4813 -1.4721 0.7530
Ni 1.3250 0.1258 1.0929
Rh -0.2842 -0.3374 3.0972
```

Values from the calculation:
- total moment (μB/atom) = 0.13
- calculated volume (A^3/atom) = 9.32
- energy above the lowest structure with this stoichiometry (meV/atom) = 52

---

The following is a PBE-GGA calculation of an optimized crystal structure of RbGa3Ge3, from Alexandria.

```
14
Lattice="7.4311 0.0000 0.0000 3.7155 6.4355 0.0000 3.7155 2.1452 8.4420" Properties=species:S:1:pos:R:3 pbc="T T T"
Ge 6.2029 6.4459 5.7990
Ge 8.6593 2.1347 2.6429
Ge 8.6838 6.4318 2.6429
Ge 4.9502 4.3045 2.6429
Ge 9.9120 4.2762 5.7990
Ge 6.1784 2.1489 5.7990
Ga 9.9119 4.2870 3.0520
Ga 8.6743 6.4372 5.3900
Ga 6.1935 6.4405 3.0520
Ga 4.9502 4.2936 5.3900
Ga 8.6686 2.1402 5.3900
Ga 6.1878 2.1435 3.0520
Rb 7.4311 4.2903 0.0017
Rb 7.4311 4.2903 8.4403
```

Values from the calculation:
- total moment (μB/atom) = 0.00
- calculated volume (A^3/atom) = 28.84
- DFT formation energy (eV per atom) = 0.043
- energy above the lowest structure with this stoichiometry (meV/atom) = 108

---

The following is a PBE-GGA calculation of an optimized crystal structure of Ta2AlFe, from Alexandria.

```
4
Lattice="-1.5674 1.9175 1.5071 -0.6513 -2.0556 1.9379 5.9335 1.7903 3.8931" Properties=species:S:1:pos:R:3 pbc="T T T"
Al 3.2192 0.9713 2.1122
Ta 0.4980 0.4159 2.7771
Ta 5.6326 1.6995 3.6956
Fe 3.2653 1.2509 4.5928
```

Values from the calculation:
- total moment (μB/atom) = 0.00
- calculated volume (A^3/atom) = 15.38
- DFT formation energy (eV per atom) = -0.174

---

The following is a PBE-GGA calculation of an optimized crystal structure of BaPO2F, from Alexandria.

```
5
Lattice="3.9439 0.0000 0.0000 0.0000 3.9439 0.0000 0.0000 0.0000 4.5454" Properties=species:S:1:pos:R:3 pbc="T T T"
O 0.0000 1.9720 0.0000
O 1.9720 0.0000 0.0000
P 0.0000 0.0000 0.0000
Ba 1.9720 1.9720 2.2727
F 0.0000 0.0000 2.2727
```

Values from the calculation:
- total moment (μB/atom) = 0.00
- calculated volume (A^3/atom) = 14.14
- formation energy from raw total energies (eV/atom) = -1.94

---

The following is a PBE-GGA calculation of an optimized crystal structure of NdDy2Co2, from Alexandria.

```
5
Lattice="-1.1593 -2.6483 -2.7830 3.7427 -0.6760 -0.9158 -1.6155 -5.0582 5.4863" Properties=species:S:1:pos:R:3 pbc="T T T"
Nd 0.0000 0.0000 0.0000
Dy 1.3694 -3.3007 -0.3225
Dy -0.4015 -5.0817 2.1100
Co 2.0202 -3.4773 2.4675
Co 0.1070 -2.2568 2.1030
```

Values from the calculation:
- total moment (μB/atom) = 0.15
- calculated volume (A^3/atom) = 23.17
- DFT formation energy (eV per atom) = -0.122
- energy above the lowest structure with this stoichiometry (meV/atom) = 0

---

The following is a PBE-GGA calculation of an optimized crystal structure of FeReBr2, from Alexandria.

```
4
Lattice="-2.2208 1.3546 1.5086 -3.7493 -4.3504 -1.6130 1.0664 -2.2503 3.5904" Properties=species:S:1:pos:R:3 pbc="T T T"
Re -1.3414 -3.3004 0.9887
Br -2.9850 -1.4979 -0.0522
Br 0.0000 0.0000 0.0000
Fe -0.5772 -0.4479 2.5495
```

Values from the calculation:
- total moment (μB/atom) = 1.33
- calculated volume (A^3/atom) = 19.60
- formation energy from raw total energies (eV/atom) = 1.20
- energy above the lowest structure with this stoichiometry (meV/atom) = 889

---

The following is a PBE-GGA calculation of an optimized crystal structure of CrCI2N, from Alexandria.

```
5
Lattice="-0.5871 4.1591 -3.5093 -5.0169 0.9535 1.9694 1.3838 2.2504 2.4356" Properties=species:S:1:pos:R:3 pbc="T T T"
I -2.5085 0.4768 0.9847
I -0.2935 2.0795 -1.7546
N 0.6919 1.1252 1.2178
Cr 0.0000 0.0000 0.0000
C -2.1101 3.6815 0.4479
```

Values from the calculation:
- total moment (μB/atom) = 0.60
- calculated volume (A^3/atom) = 21.53
- formation energy from raw total energies (eV/atom) = 1.47
- energy above the lowest structure with this stoichiometry (meV/atom) = 186

---

- Look up the total moment of the fifth one.
  0.00 μB/atom